Record 1
First-principles (PBE-GGA) data for crystalline Ac8Tb3Sm2 at its relaxed geometry, as listed in Alexandria via LeMat-Bulk.

Values from the calculation:
E_form: 0.055 eV per atom
E: -4.268 eV per atom

Cell lengths 6.6562, 6.6803, 12.0986 Å; angles 90.13, 100.68, 99.73 degrees
Space group P-1 (No. 2)
Symmetry-distinct sites (fractional):
Ac 0.0431 0.4153 0.1495 x2
Ac 0.1965 0.1174 0.7769 x2
Ac 0.3410 0.8066 0.3834 x2
Ac 0.4187 0.6550 0.6939 x2
Tb 0.2751 0.9614 0.0731 x2
Tb 0.5000 0.5000 0.0000 x1
Sm 0.1126 0.2665 0.4629 x2

---

Record 2
First-principles (PBE-GGA) data for crystalline CaHg at its relaxed geometry, as listed in Alexandria via LeMat-Bulk.

Values from the calculation:
E_form: -0.303 eV per atom
E: -1.454 eV per atom

Cell lengths 5.0616, 5.0616, 10.4502 Å; angles 90.00, 90.00, 120.00 degrees
Space group P6_3/mmc (No. 194)
Symmetry-distinct sites (fractional):
Ca 0.3333 0.6667 0.0953 x4
Hg 0.0000 0.0000 0.2500 x2
Hg 0.3333 0.6667 0.7500 x2

---

Record 3
First-principles (PBE-GGA) data for crystalline BaPdPb4 at its relaxed geometry, as listed in Alexandria via LeMat-Bulk.

Values from the calculation:
E_form: -0.363 eV per atom
E: -4.021 eV per atom

Cell lengths 4.8747, 19.2134, 7.7096 Å; angles 90.00, 90.00, 90.00 degrees
Space group Cmcm (No. 63)
Symmetry-distinct sites (fractional):
Ba 0.0000 0.1217 0.2500 x4
Pd 0.0000 0.2179 0.7500 x4
Pb 0.0000 0.0717 0.7500 x4
Pb 0.0000 0.3123 0.0431 x8
Pb 0.0000 0.5000 0.0000 x4

---

Record 4
First-principles (PBE-GGA) data for crystalline Fe2Pt3W at its relaxed geometry, as listed in Alexandria via LeMat-Bulk.

Values from the calculation:
E_form: -0.238 eV per atom
E: -8.238 eV per atom

Cell lengths 2.7559, 2.7559, 11.5471 Å; angles 90.00, 90.00, 90.00 degrees
Space group P4/mmm (No. 123)
Symmetry-distinct sites (fractional):
Fe 0.0000 0.0000 0.1607 x2
Pt 0.5000 0.5000 0.0000 x1
Pt 0.5000 0.5000 0.3268 x2
W 0.0000 0.0000 0.5000 x1

---

Record 5
First-principles (PBE-GGA) data for crystalline ThCuC at its relaxed geometry, as listed in Alexandria via LeMat-Bulk.

Values from the calculation:
E_form: 0.144 eV per atom
E: -6.770 eV per atom

Cell lengths 4.7475, 4.9873, 8.9189 Å; angles 90.00, 90.00, 90.00 degrees
Space group Pmmn (No. 59, origin choice 2)
Symmetry-distinct sites (fractional):
Th 0.2500 0.2500 0.0361 x2
Th 0.2500 0.7500 0.5953 x2
Cu 0.0081 0.7500 0.2676 x4
C 0.2500 0.2500 0.5465 x2
C 0.2500 0.7500 0.8797 x2

---

Record 6
First-principles (PBE-GGA) data for crystalline CrMoI2N at its relaxed geometry, as listed in Alexandria via LeMat-Bulk.

Values from the calculation:
E: -5.823 eV per atom
E above lowest polymorph: 0.0 meV/atom

Cell lengths 5.6679, 5.6679, 3.8363 Å; angles 90.00, 90.00, 90.00 degrees
Space group P4/mmm (No. 123)
Symmetry-distinct sites (fractional):
Cr 0.0000 0.0000 0.0000 x1
Mo 0.5000 0.5000 0.5000 x1
I 0.0000 0.5000 0.5000 x2
N 0.5000 0.5000 0.0000 x1

---

- Look up the E of the fourth one.
  -8.238 eV per atom